(1)
A plane-wave DFT calculation with PBE was carried out for crystalline PuIn2Ni at its relaxed geometry.

The calculation puts the formation energy at -0.144 eV per atom. The size of the total moment is 5.793 μB per cell. The calculation puts the density of states at the Fermi level at 7.20 states/eV per cell.

The space group is P4/mmm (No. 123) and the conventional cell measures 3.1991, 3.1991 and 8.0721 Å, with angles of 90.00, 90.00 and 90.00 degrees. Symmetry generates all atoms from Pu at (0.0000, 0.0000, 0.0000), In at (0.5000, 0.5000, 0.3054) and Ni at (0.0000, 0.0000, 0.5000).

=====

(2)
A plane-wave DFT calculation with PBE was carried out for crystalline Pu2InNi2 at its relaxed geometry.

The calculation puts the formation energy at -0.195 eV per atom. The size of the total moment is 20.939 μB per cell. The calculation puts the density of states at the Fermi level at 42.10 states/eV per cell.

The space group is P4/mbm (No. 127) and the conventional cell measures 7.2343, 7.2343 and 3.8303 Å, with angles of 90.00, 90.00 and 90.00 degrees. Symmetry generates all atoms from Pu at (0.1727, 0.3273, 0.0000), In at (0.0000, 0.0000, 0.5000) and Ni at (0.1241, 0.6241, 0.5000).

=====

(3)
A plane-wave DFT calculation with PBE was carried out for crystalline PuInNi10 at its relaxed geometry.

The calculation puts the formation energy at -0.071 eV per atom. The size of the total moment is 0.736 μB per cell. The calculation puts the density of states at the Fermi level at 21.24 states/eV per cell.

The space group is Pmmm (No. 47) and the conventional cell measures 4.0014, 4.8016 and 8.3539 Å, with angles of 90.00, 90.00 and 90.00 degrees. Symmetry generates all atoms from Pu at (0.0000, 0.0000, 0.0000), In at (0.0000, 0.5000, 0.5000), Ni at (0.0000, 0.0000, 0.3388), Ni at (0.0000, 0.5000, 0.1762), Ni at (0.5000, 0.0000, 0.5000), Ni at (0.5000, 0.2485, 0.2497) and Ni at (0.5000, 0.5000, 0.0000).

=====

(4)
A plane-wave DFT calculation with PBE was carried out for crystalline PuIn2Ni at its relaxed geometry.

The calculation puts the formation energy at 0.084 eV per atom. The size of the total moment is 18.570 μB per cell. The calculation puts the density of states at the Fermi level at 30.73 states/eV per cell.

The space group is R3m (No. 160, hexagonal axes) and the conventional cell measures 3.9270, 3.9270 and 21.8716 Å, with angles of 90.00, 90.00 and 120.00 degrees. Symmetry generates all atoms from Pu at (0.0000, 0.0000, 0.0000), In at (0.0000, 0.0000, 0.2248), In at (0.0000, 0.0000, 0.4422) and Ni at (0.0000, 0.0000, 0.8330).

=====

(5)
A plane-wave DFT calculation with PBE was carried out for crystalline Pu2In8Ni at its relaxed geometry.

The calculation puts the formation energy at -0.212 eV per atom. The size of the total moment is 11.528 μB per cell. The calculation puts the density of states at the Fermi level at 23.77 states/eV per cell.

The space group is P4/mmm (No. 123) and the conventional cell measures 4.6606, 4.6606 and 12.1773 Å, with angles of 90.00, 90.00 and 90.00 degrees. Symmetry generates all atoms from Pu at (0.0000, 0.0000, 0.1931), In at (0.0000, 0.5000, 0.0000), In at (0.0000, 0.5000, 0.3790), In at (0.5000, 0.5000, 0.1914) and Ni at (0.0000, 0.0000, 0.5000).

=====

(6)
A plane-wave DFT calculation with PBE was carried out for crystalline PuIn2Ni at its relaxed geometry.

The calculation puts the formation energy at 0.254 eV per atom. The size of the total moment is 18.144 μB per cell. The calculation puts the density of states at the Fermi level at 28.08 states/eV per cell.

The space group is R-3m (No. 166, hexagonal axes) and the conventional cell measures 3.1896, 3.1896 and 31.2134 Å, with angles of 90.00, 90.00 and 120.00 degrees. Symmetry generates all atoms from Pu at (0.0000, 0.0000, 0.0000), In at (0.0000, 0.0000, 0.1037) and Ni at (0.0000, 0.0000, 0.5000).

=====

(7)
A plane-wave DFT calculation with PBE was carried out for crystalline PuInNiRu at its relaxed geometry.

The calculation puts the formation energy at -0.093 eV per atom. The size of the total moment is 18.044 μB per cell. The calculation puts the density of states at the Fermi level at 28.36 states/eV per cell.

The space group is F-43m (No. 216) and the conventional cell measures 6.5916, 6.5916 and 6.5916 Å, with angles of 90.00, 90.00 and 90.00 degrees. Symmetry generates all atoms from Pu at (0.0000, 0.0000, 0.0000), In at (0.0000, 0.0000, 0.5000), Ni at (0.2500, 0.2500, 0.7500) and Ru at (0.2500, 0.2500, 0.2500).

=====

(8)
A plane-wave DFT calculation with PBE was carried out for crystalline PuInTcNi at its relaxed geometry.

The calculation puts the formation energy at 0.027 eV per atom. The size of the total moment is 15.658 μB per cell. The calculation puts the density of states at the Fermi level at 20.29 states/eV per cell.

The space group is F-43m (No. 216) and the conventional cell measures 6.5888, 6.5888 and 6.5888 Å, with angles of 90.00, 90.00 and 90.00 degrees. Symmetry generates all atoms from Pu at (0.0000, 0.0000, 0.0000), In at (0.0000, 0.0000, 0.5000), Tc at (0.2500, 0.2500, 0.2500) and Ni at (0.2500, 0.2500, 0.7500).

=====

(9)
A plane-wave DFT calculation with PBE was carried out for crystalline PuZnInNi at its relaxed geometry.

The calculation puts the formation energy at -0.104 eV per atom. The size of the total moment is 19.406 μB per cell. The calculation puts the density of states at the Fermi level at 35.82 states/eV per cell.

The space group is F-43m (No. 216) and the conventional cell measures 6.7131, 6.7131 and 6.7131 Å, with angles of 90.00, 90.00 and 90.00 degrees. Symmetry generates all atoms from Pu at (0.0000, 0.0000, 0.0000), Zn at (0.2500, 0.2500, 0.7500), In at (0.0000, 0.0000, 0.5000) and Ni at (0.2500, 0.2500, 0.2500).

=====

(10)
A plane-wave DFT calculation with PBE was carried out for crystalline Rb2In2Ni at its relaxed geometry.

The calculation puts the formation energy at 0.163 eV per atom. The size of the total moment is 0.000 μB per cell. The calculation puts the density of states at the Fermi level at 1.82 states/eV per cell.

The space group is P4/mbm (No. 127) and the conventional cell measures 7.1542, 7.1542 and 6.5172 Å, with angles of 90.00, 90.00 and 90.00 degrees. Symmetry generates all atoms from Rb at (0.1738, 0.3262, 0.0000), In at (0.1896, 0.6896, 0.5000) and Ni at (0.0000, 0.0000, 0.5000).

=====

(11)
A plane-wave DFT calculation with PBE was carried out for crystalline RbIn3Ni at its relaxed geometry.

The calculation puts the formation energy at -0.040 eV per atom. The size of the total moment is 0.000 μB per cell. The calculation puts the density of states at the Fermi level at 3.04 states/eV per cell. The energy relative to the lowest polymorph listed for this composition is 0.000 eV/atom.

The space group is Pm-3m (No. 221) and the conventional cell measures 5.1730, 5.1730 and 5.1730 Å, with angles of 90.00, 90.00 and 90.00 degrees. Symmetry generates all atoms from Rb at (0.0000, 0.0000, 0.0000), In at (0.0000, 0.5000, 0.5000) and Ni at (0.5000, 0.5000, 0.5000).

=====

(12)
A plane-wave DFT calculation with PBE was carried out for crystalline RbIn2Ni2 at its relaxed geometry.

The calculation puts the formation energy at 0.191 eV per atom. The size of the total moment is 0.000 μB per cell. The calculation puts the density of states at the Fermi level at 4.88 states/eV per cell. The energy relative to the lowest polymorph listed for this composition is 0.027 eV/atom.

The space group is P4/mbm (No. 127) and the conventional cell measures 8.2997, 8.2997 and 2.9512 Å, with angles of 90.00, 90.00 and 90.00 degrees. Symmetry generates all atoms from Rb at (0.0000, 0.0000, 0.0000), In at (0.1326, 0.3674, 0.5000) and Ni at (0.1569, 0.6569, 0.0000).